The following is a DFT calculation (GGA-PBE) of a relaxed CsHg2TePd crystal.

Cell: 5.4556 5.4556 5.5390 Å, 90.00 90.00 90.00°
Space group P4/mmm (No. 123)
Unique sites:
Cs: 0.0000 0.0000 0.0000 x1
Hg: 0.0000 0.5000 0.5000 x2
Te: 0.5000 0.5000 0.0000 x1
Pd: 0.5000 0.5000 0.5000 x1

## Properties
ΔE_f (raw) in eV per atom: -0.377
Density in Mg/m³: 7.74



The following is a DFT calculation (GGA-PBE) of a relaxed RuF crystal.

Cell: 4.9698 4.9698 4.9698 Å, 90.00 90.00 90.00°
Space group F-43m (No. 216)
Unique sites:
Ru: 0.0000 0.0000 0.0000 x4
F: 0.2500 0.2500 0.2500 x4

## Properties
ΔE_f (raw) in eV per atom: 0.712
Energy above the lowest structure with this stoichiometry in meV/atom: 1396
Density in Mg/m³: 6.50



The following is a DFT calculation (GGA-PBE) of a relaxed K5Na2Hg crystal.

Cell: 4.5799 14.2471 26.1816 Å, 90.00 90.00 90.00°
Space group Cmcm (No. 63)
Unique sites:
K: 0.0000 0.0041 0.2500 x4
K: 0.0000 0.1357 0.5425 x8
K: 0.0000 0.4031 0.6174 x8
Na: 0.0000 0.3014 0.1783 x8
Hg: 0.0000 0.2914 0.7500 x4

## Properties
Energy of formation in eV/f.u.: -0.5
Density in Mg/m³: 1.72



The following is a DFT calculation (GGA-PBE) of a relaxed CeDy8Th4 crystal.

Cell: 11.0929 11.0929 13.2080 Å, 90.00 90.00 120.00°
Space group R-3m (No. 166, hexagonal axes)
Unique sites:
Ce: 0.0000 0.0000 0.0000 x3
Dy: 0.0000 0.0000 0.2588 x6
Dy: 0.0097 0.5048 0.2415 x18
Th: 0.0000 0.0000 0.5000 x3
Th: 0.0000 0.5000 0.5000 x9

## Properties
Energy of formation in eV/f.u.: 7.7
Density in Mg/m³: 8.38